Ce2SmMg2In2 (PBE, relaxed); total magnetization = 2.29 μB/cell; energy of formation from the pure elements = -0.1945 eV per atom
1.0
2.431 1.404 9.024
-2.431 1.404 9.024
0.000 -2.807 9.024
Ce Sm Mg In
2 1 2 2
Direct
0.144 0.144 0.144 Ce
0.856 0.856 0.856 Ce
0.000 0.000 0.000 Sm
0.410 0.410 0.410 Mg
0.590 0.590 0.590 Mg
0.268 0.268 0.268 In
0.732 0.732 0.732 In

***

Ca2Pr12Ho5 (PBE, relaxed); total magnetization = 0.00 μB/cell; energy of formation from the pure elements = 0.3465 eV per atom
1.0
10.272 -3.610 0.000
10.272 3.610 0.000
-4.274 0.000 9.833
Ca Pr Ho
2 12 5
Direct
0.238 0.762 0.000 Ca
0.762 0.238 0.000 Ca
0.033 0.033 0.386 Pr
0.074 0.560 0.398 Pr
0.081 0.535 0.933 Pr
0.368 0.368 0.694 Pr
0.440 0.926 0.602 Pr
0.465 0.919 0.067 Pr
0.535 0.081 0.933 Pr
0.560 0.074 0.398 Pr
0.632 0.632 0.306 Pr
0.919 0.465 0.067 Pr
0.926 0.440 0.602 Pr
0.967 0.967 0.614 Pr
0.132 0.132 0.802 Ho
0.161 0.161 0.299 Ho
0.500 0.500 0.500 Ho
0.839 0.839 0.701 Ho
0.868 0.868 0.198 Ho

***

Pm2Tm2Sc3 (PBE, relaxed); total magnetization = 0.00 μB/cell; relative energy among the computed polymorphs = 17.5 meV per atom; energy of formation from the pure elements = 0.1675 eV per atom
1.0
6.328 0.000 0.000
0.000 6.585 0.000
-5.832 0.000 9.757
Pm Tm Sc
4 4 6
Direct
0.079 0.229 0.181 Pm
0.079 0.271 0.681 Pm
0.921 0.729 0.319 Pm
0.921 0.771 0.819 Pm
0.315 0.744 0.699 Tm
0.315 0.756 0.199 Tm
0.685 0.244 0.801 Tm
0.685 0.256 0.301 Tm
0.276 0.088 0.491 Sc
0.276 0.412 0.991 Sc
0.500 0.000 0.000 Sc
0.500 0.500 0.500 Sc
0.724 0.588 0.009 Sc
0.724 0.912 0.509 Sc

***

Li6Sn2H (PBE, relaxed); total magnetization = 0.00 μB/cell; E_tot = -25.86 eV/cell
1.0
-2.891 2.891 4.369
2.891 -2.891 4.369
2.891 2.891 -4.369
Li Sn H
6 2 1
Direct
0.235 0.235 0.000 Li
0.241 0.241 0.482 Li
0.241 0.759 0.000 Li
0.759 0.241 0.000 Li
0.759 0.759 0.518 Li
0.765 0.765 0.000 Li
0.250 0.750 0.500 Sn
0.750 0.250 0.500 Sn
0.000 0.000 0.000 H